(1)
NiOs2Se | Alexandria | PBE | optimized geometry; space group = Pmmm, No. 47; raw total energy = -7.222 eV per atom; formation energy from raw total energies = 68.4 kJ per mole of atoms
1.0
2.764 0.000 0.000
0.000 4.584 0.000
0.000 0.000 4.595
Ni Os Se
1 2 1
Cartesian
0.000 0.000 0.000
0.000 2.292 2.298
1.382 2.292 0.000
1.382 0.000 2.298

(2)
Pb2WC | Alexandria | PBE | optimized geometry; space group = I-42d, No. 122; raw total energy = -5.455 eV per atom
1.0
-3.515 3.515 3.253
3.515 -3.515 3.253
3.515 3.515 -3.253
Pb W C
4 2 2
Cartesian
1.758 1.330 -0.813
2.185 -1.758 4.066
1.758 2.185 2.440
1.330 5.273 0.813
3.515 0.000 1.627
0.000 0.000 3.253
0.000 0.000 0.000
0.000 3.515 1.627

(3)
Ca3Ac4Ir2 | Alexandria | PBE | optimized geometry; space group = C2/m, No. 12; raw total energy = -4.769 eV per atom
1.0
10.130 -2.131 0.000
10.130 2.131 0.000
-4.813 0.000 8.736
Ca Ac Ir
3 4 2
Cartesian
0.000 0.000 0.000
6.367 0.000 1.573
9.080 0.000 7.164
-0.599 0.000 3.753
2.583 0.000 6.141
12.864 0.000 2.596
16.046 0.000 4.983
4.446 0.000 3.720
11.002 0.000 5.017

(4)
CePmSm2Ho | Alexandria | PBE | optimized geometry; space group = P2/c, No. 13; raw total energy = -4.656 eV per atom
1.0
8.235 0.000 0.000
0.000 6.716 0.000
-0.040 0.000 6.011
Ce Pm Sm Ho
2 2 4 2
Cartesian
0.000 0.000 0.000
-0.020 0.000 3.006
-0.010 2.829 1.503
-0.030 3.886 4.508
2.475 2.051 4.497
2.495 4.664 1.491
5.699 2.051 4.520
5.719 4.664 1.514
4.107 1.098 1.503
4.087 5.617 4.508

(5)
AlNiSb2 | Alexandria | PBE | optimized geometry; space group = Amm2, No. 38; raw total energy = -4.511 eV per atom; formation energy from raw total energies = -6.6 kJ per mole of atoms
1.0
4.345 0.000 0.000
0.000 2.574 3.852
0.000 -2.574 3.852
Al Ni Sb
1 1 2
Cartesian
0.000 0.000 0.000
2.173 0.000 1.181
0.000 0.000 2.709
2.173 0.000 5.944

(6)
CuSiCl2 | Alexandria | PBE | optimized geometry; space group = Cmm2, No. 35; raw total energy = -3.427 eV per atom; formation energy from raw total energies = -12.0 kJ per mole of atoms
1.0
1.653 -3.066 0.000
1.653 3.066 0.000
0.000 0.000 8.591
Cu Si Cl
1 1 2
Cartesian
0.000 0.000 0.000
1.653 0.000 1.650
0.000 0.000 3.482
1.653 0.000 7.053

Fermi-level density of states
In order: 4.08 6.27 8.60 20.17 1.20 1.14
Unit: states/eV per cell